Entry 1:
VASP calculation (GGA-PBE) on NiP2Ir after structural relaxation.

Cell and atoms, written as CIF:
```
data_NiP2Ir
_cell_length_a 6.308
_cell_length_b 6.308
_cell_length_c 6.308
_cell_angle_alpha 131.63
_cell_angle_beta 131.63
_cell_angle_gamma 70.81
_space_group_name_H-M_alt 'P 1'
_space_group_IT_number 1
loop_
_space_group_symop_operation_xyz
'x,y,z'
loop_
_atom_site_label
_atom_site_type_symbol
_atom_site_fract_x
_atom_site_fract_y
_atom_site_fract_z
Ni1 Ni 0.000 0.000 0.000
Ni2 Ni 0.750 0.250 0.500
P1 P 0.113 0.625 0.988
P2 P 0.375 0.363 0.488
P3 P 0.637 0.125 0.012
P4 P 0.875 0.887 0.512
Ir1 Ir 0.250 0.750 0.500
Ir2 Ir 0.500 0.500 0.000
```

energy above the lowest structure with this stoichiometry = 0.095 eV/atom
mass density = 7.56 g/cm³
ΔE_f = -0.26 eV/atom

Entry 2:
VASP calculation (GGA-PBE) on NiP2Ir after structural relaxation.

Cell and atoms, written as CIF:
```
data_NiP2Ir
_cell_length_a 2.909
_cell_length_b 2.909
_cell_length_c 6.089
_cell_angle_alpha 90.00
_cell_angle_beta 90.00
_cell_angle_gamma 90.00
_space_group_name_H-M_alt 'P 1'
_space_group_IT_number 1
loop_
_space_group_symop_operation_xyz
'x,y,z'
loop_
_atom_site_label
_atom_site_type_symbol
_atom_site_fract_x
_atom_site_fract_y
_atom_site_fract_z
Ni1 Ni 0.000 0.000 0.000
P1 P 0.500 0.500 0.237
P2 P 0.500 0.500 0.763
Ir1 Ir 0.000 0.000 0.500
```

energy above the lowest structure with this stoichiometry = 0.426 eV/atom
mass density = 10.08 g/cm³
ΔE_f = 0.07 eV/atom

Entry 3:
VASP calculation (GGA-PBE) on NiPIr2 after structural relaxation.

Cell and atoms, written as CIF:
```
data_NiPIr2
_cell_length_a 2.756
_cell_length_b 2.756
_cell_length_c 8.329
_cell_angle_alpha 90.00
_cell_angle_beta 90.00
_cell_angle_gamma 120.61
_space_group_name_H-M_alt 'P 1'
_space_group_IT_number 1
loop_
_space_group_symop_operation_xyz
'x,y,z'
loop_
_atom_site_label
_atom_site_type_symbol
_atom_site_fract_x
_atom_site_fract_y
_atom_site_fract_z
Ni1 Ni 0.000 0.000 0.000
P1 P 0.500 0.500 0.210
Ir1 Ir 0.000 0.000 0.445
Ir2 Ir 0.500 0.500 0.733
```

mass density = 14.45 g/cm³
ΔE_f = 0.21 eV/atom